Entry 1:
La2TlTc PBE optimized geometry; space group = No. 123; size of the total moment = 0.0 μB/cell; energy of formation from the pure elements = -78 meV per atom
1.0
-3.3866 0.9179 -0.0910
-0.6801 -2.7188 -2.1134
-1.5820 -5.1319 7.1111
La Tc Tl
2 1 1
Cartesian
-0.0803 -0.2606 0.3611
-0.7106 -2.3053 3.1944
-2.4289 -2.1834 0.6756
-3.2199 -4.7493 4.2312

=====

Entry 2:
Tc3PBr PBE optimized geometry; E_form (uncorrected) = 0.965 eV per atom; space group = No. 221; polymorph energy (0 for the lowest one) = 0.000 eV/atom; size of the total moment = 2.9 μB/cell
1.0
-3.3859 -1.6594 -2.4387
2.3326 -3.7787 -0.6674
-1.8055 -1.7699 3.7111
P Tc Br
1 3 1
Cartesian
0.0000 0.0000 0.0000
1.1663 -1.8894 -0.3337
-0.9028 -0.8850 1.8556
-1.6930 -0.8297 -1.2193
-1.4294 -3.6040 0.3025

=====

Entry 3:
ZrCr PBE optimized geometry; space group = No. 164; size of the total moment = 0.0 μB/cell; energy of formation from the pure elements = 403 meV per atom
1.0
3.0937 0.0000 0.0000
-1.5469 2.6792 0.0000
0.0000 0.0000 8.6234
Cr Zr
2 2
Cartesian
0.0000 0.0000 0.3563
0.0000 1.7862 1.7996
0.0000 0.0000 3.9718
0.0000 1.7862 6.8074